# GGA-PBE SmTm2Tl, optimized geometry
# **D(E_F)**: 18.490 states/eV/cell
# **Formation enthalpy at 0 K**: -95 meV/atom
data_SmTm2Tl
_chemical_formula_sum 'Sm4 Tm8 Tl4'
_symmetry_space_group_name_H-M 'C m c m'
_symmetry_Int_Tables_number 63
_symmetry_space_group_name_Hall '-C 2c 2'
_cell_length_a 4.5719
_cell_length_b 12.3825
_cell_length_c 8.6915
_cell_angle_alpha 90.00
_cell_angle_beta 90.00
_cell_angle_gamma 90.00
loop_
_atom_site_label
_atom_site_type_symbol
_atom_site_fract_x
_atom_site_fract_y
_atom_site_fract_z
_atom_site_occupancy
Sm1 Sm 0.0000 0.0568 0.2500 1
Tm1 Tm 0.0000 0.3652 0.0531 1
Tl1 Tl 0.0000 0.2348 0.7500 1

# GGA-PBE PICl2O, optimized geometry
# **D(E_F)**: 8.948 states/eV/cell
# **Formation energy from raw total energies**: 6.0 eV/f.u.
data_PICl2O
_chemical_formula_sum 'P1 I1 Cl2 O1'
_symmetry_space_group_name_H-M 'P 4/m m m'
_symmetry_Int_Tables_number 123
_symmetry_space_group_name_Hall '-P 4 2'
_cell_length_a 5.3930
_cell_length_b 5.3930
_cell_length_c 5.4835
_cell_angle_alpha 90.00
_cell_angle_beta 90.00
_cell_angle_gamma 90.00
loop_
_atom_site_label
_atom_site_type_symbol
_atom_site_fract_x
_atom_site_fract_y
_atom_site_fract_z
_atom_site_occupancy
P1 P 0.0000 0.0000 0.0000 1
I1 I 0.0000 0.0000 0.5000 1
Cl1 Cl 0.0000 0.5000 0.5000 1
O1 O 0.5000 0.5000 0.0000 1

# GGA-PBE BaRe2Ru, optimized geometry
# **D(E_F)**: 7.531 states/eV/cell
# **Formation enthalpy at 0 K**: 1759 meV/atom
data_BaRe2Ru
_chemical_formula_sum 'Ba1 Re2 Ru1'
_symmetry_space_group_name_H-M 'P 4/m m m'
_symmetry_Int_Tables_number 123
_symmetry_space_group_name_Hall '-P 4 2'
_cell_length_a 4.9516
_cell_length_b 4.9516
_cell_length_c 3.0329
_cell_angle_alpha 90.00
_cell_angle_beta 90.00
_cell_angle_gamma 90.00
loop_
_atom_site_label
_atom_site_type_symbol
_atom_site_fract_x
_atom_site_fract_y
_atom_site_fract_z
_atom_site_occupancy
Ba1 Ba 0.0000 0.0000 0.0000 1
Re1 Re 0.0000 0.5000 0.5000 1
Ru1 Ru 0.5000 0.5000 0.0000 1

# GGA-PBE Fe2BP, optimized geometry
# **D(E_F)**: 1.672 states/eV/cell
# **Formation enthalpy at 0 K**: -124 meV/atom
data_Fe2BP
_chemical_formula_sum 'Fe8 B4 P4'
_symmetry_space_group_name_H-M 'F m -3 m'
_symmetry_Int_Tables_number 225
_symmetry_space_group_name_Hall '-F 4 2 3'
_cell_length_a 5.2445
_cell_length_b 5.2445
_cell_length_c 5.2445
_cell_angle_alpha 90.00
_cell_angle_beta 90.00
_cell_angle_gamma 90.00
loop_
_atom_site_label
_atom_site_type_symbol
_atom_site_fract_x
_atom_site_fract_y
_atom_site_fract_z
_atom_site_occupancy
Fe1 Fe 0.2500 0.2500 0.2500 1
B1 B 0.0000 0.0000 0.0000 1
P1 P 0.0000 0.0000 0.5000 1